No. 1
Dy2Y4Se9 | PBE-GGA | relaxed

Output
uncorrected formation energy	-28.0	eV per formula unit

a = 7.202 Å, b = 7.205 Å, c = 19.488 Å
α = 90.01°, β = 90.03°, γ = 60.04°
Sites, in units of the cell vectors:
1 Dy 0.999 0.001 0.348
2 Dy 0.000 0.999 0.152
3 Dy 0.001 0.999 0.652
4 Dy 0.000 0.001 0.848
5 Y 0.333 0.333 0.985
6 Y 0.334 0.333 0.486
7 Y 0.667 0.667 0.015
8 Y 0.332 0.334 0.181
9 Y 0.666 0.667 0.514
10 Y 0.666 0.667 0.319
11 Y 0.334 0.333 0.681
12 Y 0.668 0.666 0.819
13 Se 0.001 0.305 0.750
14 Se 0.305 0.695 0.750
15 Se 0.696 0.000 0.750
16 Se 0.999 0.695 0.250
17 Se 0.695 0.305 0.250
18 Se 0.304 0.000 0.250
19 Se 0.667 0.972 0.417
20 Se 0.972 0.361 0.417
21 Se 0.360 0.668 0.417
22 Se 0.638 0.029 0.083
23 Se 0.333 0.638 0.083
24 Se 0.029 0.331 0.083
25 Se 0.333 0.028 0.583
26 Se 0.028 0.639 0.583
27 Se 0.640 0.332 0.583
28 Se 0.362 0.971 0.917
29 Se 0.667 0.362 0.917
30 Se 0.971 0.669 0.917



No. 2
LiMg2Te | PBE-GGA | relaxed

Output
uncorrected formation energy	-1.5	eV per formula unit

a = 3.918 Å, b = 4.120 Å, c = 6.709 Å
α = 72.07°, β = 90.00°, γ = 90.00°
Sites, in units of the cell vectors:
1 Li 0.500 0.725 0.677
2 Mg 0.000 0.053 0.016
3 Mg 0.500 0.443 0.236
4 Te 0.000 0.278 0.571



No. 3
LaMo4Ru | PBE-GGA | relaxed

Output
formation energy	48.3	kJ/mol of atoms

a = 5.392 Å, b = 5.392 Å, c = 5.392 Å
α = 60.00°, β = 60.00°, γ = 60.00°
Sites, in units of the cell vectors:
1 La 0.000 0.000 0.000
2 Mo 0.876 0.375 0.375
3 Mo 0.375 0.375 0.876
4 Mo 0.375 0.876 0.375
5 Mo 0.375 0.375 0.375
6 Ru 0.750 0.750 0.750